Record 1
This record from Alexandria via LeMat-Bulk describes a relaxed Bi8PdPt2 crystal. The functional is PBE.

## Properties
M_tot in μB per formula unit: 0.00
Space-group type: C2/m
ρ in kg/m³: 10566
ΔH_f (0 K) in eV per atom: 0.019
Crystal system: monoclinic

Cell: 7.7430 7.7430 5.7036 Å, 90.66 90.66 85.35°
Fractional positions:
Bi  0.0563  0.0563  0.2521
Bi  0.2052  0.6431  0.2643
Bi  0.2778  0.2778  0.7600
Bi  0.3569  0.7948  0.7357
Bi  0.6431  0.2052  0.2643
Bi  0.7222  0.7222  0.2400
Bi  0.7948  0.3569  0.7357
Bi  0.9437  0.9437  0.7479
Pd  0.5000  0.5000  0.0000
Pt  0.2914  0.2914  0.2726
Pt  0.7086  0.7086  0.7274

Record 2
This record from Alexandria via LeMat-Bulk describes a relaxed Na2Al5Ga4 crystal. The functional is PBE.

## Properties
M_tot in μB per formula unit: 0.00
Space-group type: Fmmm
ρ in kg/m³: 3283
ΔH_f (0 K) in eV per atom: 0.053
Crystal system: orthorhombic

Cell: 9.6179 8.7623 5.6735 Å, 80.47 63.96 35.57°
Fractional positions:
Na  0.1193  0.1193  0.8807
Na  0.8807  0.8807  0.1193
Al  0.0000  0.0000  0.5000
Al  0.2500  0.2500  0.2500
Al  0.5000  0.5000  0.0000
Al  0.5000  0.5000  0.5000
Al  0.7500  0.7500  0.7500
Ga  0.2221  0.5098  0.4902
Ga  0.4902  0.7779  0.2221
Ga  0.5098  0.2221  0.7779
Ga  0.7779  0.4902  0.5098

Record 3
This record from Alexandria via LeMat-Bulk describes a relaxed YIrBr crystal. The functional is PBE.

## Properties
M_tot in μB per formula unit: 0.00
Offset from the most stable computed form in eV/atom: 0.913
Space-group type: P-6m2
ρ in kg/m³: 9693
Crystal system: hexagonal
Formation energy without anion corrections in eV per atom: -0.336

Cell: 4.5353 4.5353 3.4722 Å, 90.00 90.00 120.00°
Fractional positions:
Y  0.0000  0.0000  0.0000
Ir  0.3333  0.6667  0.5000
Br  0.6667  0.3333  0.5000

Record 4
This record from Alexandria via LeMat-Bulk describes a relaxed LaVMo2Ir crystal. The functional is PBE.

## Properties
M_tot in μB per formula unit: 0.00
Space-group type: P4/mmm
ρ in kg/m³: 9762
ΔH_f (0 K) in eV per atom: 2.136
Crystal system: tetragonal

Cell: 4.6816 4.6816 4.4544 Å, 90.00 90.00 90.00°
Fractional positions:
La  0.0000  0.0000  0.0000
V  0.0000  0.0000  0.5000
Mo  0.0000  0.5000  0.0000
Mo  0.5000  0.0000  0.0000
Ir  0.5000  0.5000  0.5000

Record 5
This record from Alexandria via LeMat-Bulk describes a relaxed Li3Ac2Au4 crystal. The functional is PBE.

## Properties
M_tot in μB per formula unit: 0.00
Space-group type: Cmce
ρ in kg/m³: 10249
ΔH_f (0 K) in eV per atom: -0.614
Crystal system: orthorhombic

Cell: 8.7430 8.7430 8.0935 Å, 90.00 90.00 138.60°
Fractional positions:
Li  0.0000  0.0000  0.0000
Li  0.0380  0.4620  0.2500
Li  0.4620  0.0380  0.7500
Li  0.5000  0.5000  0.5000
Li  0.5380  0.9620  0.2500
Li  0.9620  0.5380  0.7500
Ac  0.1163  0.8837  0.4186
Ac  0.3837  0.6163  0.9186
Ac  0.6163  0.3837  0.0814
Ac  0.8837  0.1163  0.5814
Au  0.1897  0.8103  0.0415
Au  0.2053  0.2947  0.2500
Au  0.2947  0.2053  0.7500
Au  0.3103  0.6897  0.5415
Au  0.6897  0.3103  0.4585
Au  0.7053  0.7947  0.2500
Au  0.7947  0.7053  0.7500
Au  0.8103  0.1897  0.9585

Record 6
This record from Alexandria via LeMat-Bulk describes a relaxed La12Pm7Ho crystal. The functional is PBE.

## Properties
M_tot in μB per formula unit: 0.01
Offset from the most stable computed form in eV/atom: 0.008
Space-group type: R-3
ρ in kg/m³: 6609
ΔH_f (0 K) in eV per atom: 0.182
Crystal system: trigonal

Cell: 8.9433 8.9433 8.9433 Å, 89.55 89.55 89.55°
Fractional positions:
La  0.0161  0.8963  0.3562
La  0.1037  0.6438  0.9839
La  0.2207  0.3534  0.7563
La  0.2437  0.7793  0.6466
La  0.3534  0.7563  0.2207
La  0.3562  0.0161  0.8963
La  0.6438  0.9839  0.1037
La  0.6466  0.2437  0.7793
La  0.7563  0.2207  0.3534
La  0.7793  0.6466  0.2437
La  0.8963  0.3562  0.0161
La  0.9839  0.1037  0.6438
Pm  0.0000  0.0000  0.0000
Pm  0.1184  0.4309  0.3619
Pm  0.3619  0.1184  0.4309
Pm  0.4309  0.3619  0.1184
Pm  0.5691  0.6381  0.8816
Pm  0.6381  0.8816  0.5691
Pm  0.8816  0.5691  0.6381
Ho  0.5000  0.5000  0.5000

Record 7
This record from Alexandria via LeMat-Bulk describes a relaxed Y3Ta crystal. The functional is PBE.

## Properties
M_tot in μB per formula unit: 0.00
Offset from the most stable computed form in eV/atom: 0.762
Space-group type: Pm-3m
ρ in kg/m³: 4245
ΔH_f (0 K) in eV per atom: 1.031
Crystal system: cubic

Cell: 5.5947 5.5947 5.5947 Å, 90.00 90.00 90.00°
Fractional positions:
Y  0.0000  0.0000  0.5000
Y  0.0000  0.5000  0.0000
Y  0.5000  0.0000  0.0000
Ta  0.0000  0.0000  0.0000

Record 8
This record from Alexandria via LeMat-Bulk describes a relaxed LiSnF2 crystal. The functional is PBE.

## Properties
M_tot in μB per formula unit: 0.00
Offset from the most stable computed form in eV/atom: 0.251
Space-group type: I-42d
ρ in kg/m³: 4333
Crystal system: tetragonal
Formation energy without anion corrections in eV per atom: -1.989

Cell: 5.9090 5.9090 5.9090 Å, 127.68 127.68 77.15°
Fractional positions:
Li  0.0000  0.0000  0.0000
Li  0.7500  0.2500  0.5000
Sn  0.2500  0.7500  0.5000
Sn  0.5000  0.5000  0.0000
F  0.0069  0.6250  0.8819
F  0.3750  0.2569  0.3819
F  0.7431  0.1250  0.1181
F  0.8750  0.9931  0.6181

Record 9
This record from Alexandria via LeMat-Bulk describes a relaxed Ca5MgHg crystal. The functional is PBE.

## Properties
M_tot in μB per formula unit: 0.00
Space-group type: C2/c
ρ in kg/m³: 2716
ΔH_f (0 K) in eV per atom: -0.074
Crystal system: monoclinic

Cell: 7.0418 7.0418 12.2143 Å, 103.32 103.32 63.11°
Fractional positions:
Ca  0.0620  0.9380  0.7500
Ca  0.0629  0.3920  0.6452
Ca  0.2279  0.5137  0.9576
Ca  0.3920  0.0629  0.1452
Ca  0.4863  0.7721  0.5424
Ca  0.5137  0.2279  0.4576
Ca  0.6080  0.9371  0.8548
Ca  0.7721  0.4863  0.0424
Ca  0.9371  0.6080  0.3548
Ca  0.9380  0.0620  0.2500
Mg  0.4333  0.5667  0.2500
Mg  0.5667  0.4333  0.7500
Hg  0.0000  0.0000  0.0000
Hg  0.0000  0.0000  0.5000

Record 10
This record from Alexandria via LeMat-Bulk describes a relaxed NbVTcMo2 crystal. The functional is PBE.

## Properties
M_tot in μB per formula unit: 0.00
Space-group type: P4/mmm
ρ in kg/m³: 8067
ΔH_f (0 K) in eV per atom: 1.042
Crystal system: tetragonal

Cell: 4.4881 4.4881 4.4321 Å, 90.00 90.00 90.00°
Fractional positions:
Nb  0.0000  0.0000  0.0000
V  0.5000  0.5000  0.5000
Tc  0.5000  0.5000  0.0000
Mo  0.0000  0.5000  0.5000
Mo  0.5000  0.0000  0.5000

Record 11
This record from Alexandria via LeMat-Bulk describes a relaxed CdP3Pb crystal. The functional is PBE.

## Properties
M_tot in μB per formula unit: 0.00
Offset from the most stable computed form in eV/atom: 0.000
Space-group type: Pm-3m
ρ in kg/m³: 5434
ΔH_f (0 K) in eV per atom: 0.991
Crystal system: cubic

Cell: 5.0141 5.0141 5.0141 Å, 90.00 90.00 90.00°
Fractional positions:
Cd  0.0000  0.0000  0.0000
P  0.0000  0.0000  0.5000
P  0.0000  0.5000  0.0000
P  0.5000  0.0000  0.0000
Pb  0.5000  0.5000  0.5000

Record 12
This record from Alexandria via LeMat-Bulk describes a relaxed TlCdO crystal. The functional is PBE.

## Properties
M_tot in μB per formula unit: 0.00
Offset from the most stable computed form in eV/atom: 0.000
Space-group type: Pnma
ρ in kg/m³: 7690
Crystal system: orthorhombic
Formation energy without anion corrections in eV per atom: -0.564

Cell: 5.2832 3.3501 16.2408 Å, 90.00 90.00 90.00°
Fractional positions:
Tl  0.1593  0.2500  0.1742
Tl  0.3407  0.7500  0.6742
Tl  0.6593  0.2500  0.3258
Tl  0.8407  0.7500  0.8258
Cd  0.2215  0.2500  0.4824
Cd  0.2785  0.7500  0.9824
Cd  0.7215  0.2500  0.0176
Cd  0.7785  0.7500  0.5176
O  0.0346  0.2500  0.9154
O  0.4654  0.7500  0.4154
O  0.5346  0.2500  0.5846
O  0.9654  0.7500  0.0846

Record 13
This record from Alexandria via LeMat-Bulk describes a relaxed TaBe3 crystal. The functional is PBE.

## Properties
M_tot in μB per formula unit: 0.04
Space-group type: R-3m
ρ in kg/m³: 7252
ΔH_f (0 K) in eV per atom: 0.263
Crystal system: trigonal

Cell: 4.7794 4.7794 4.7794 Å, 117.07 117.07 117.07°
Fractional positions:
Ta  0.0000  0.0000  0.0000
Be  0.0000  0.5000  0.5000
Be  0.5000  0.0000  0.5000
Be  0.5000  0.5000  0.0000

Record 14
This record from Alexandria via LeMat-Bulk describes a relaxed LiSm2In9 crystal. The functional is PBE.

## Properties
M_tot in μB per formula unit: 0.00
Space-group type: P4/mmm
ρ in kg/m³: 7423
ΔH_f (0 K) in eV per atom: -0.336
Crystal system: tetragonal

Cell: 4.6616 4.6616 13.8044 Å, 90.00 90.00 90.00°
Fractional positions:
Li  0.0000  0.0000  0.0000
Sm  0.0000  0.0000  0.3279
Sm  0.0000  0.0000  0.6721
In  0.0000  0.5000  0.1545
In  0.0000  0.5000  0.5000
In  0.0000  0.5000  0.8455
In  0.5000  0.0000  0.1545
In  0.5000  0.0000  0.5000
In  0.5000  0.0000  0.8455
In  0.5000  0.5000  0.0000
In  0.5000  0.5000  0.3335
In  0.5000  0.5000  0.6665

Record 15
This record from Alexandria via LeMat-Bulk describes a relaxed Ce4GdTm crystal. The functional is PBE.

## Properties
M_tot in μB per formula unit: 3.15
Space-group type: F-43m
ρ in kg/m³: 8306
ΔH_f (0 K) in eV per atom: 0.203
Crystal system: cubic

Cell: 6.3053 6.3053 6.3053 Å, 60.00 60.00 60.00°
Fractional positions:
Ce  0.1217  0.1217  0.1217
Ce  0.1217  0.1217  0.6349
Ce  0.1217  0.6349  0.1217
Ce  0.6349  0.1217  0.1217
Gd  0.5000  0.5000  0.5000
Tm  0.7500  0.7500  0.7500

Record 16
This record from Alexandria via LeMat-Bulk describes a relaxed BaBiTeI2 crystal. The functional is PBE.

## Properties
M_tot in μB per formula unit: 0.99
Offset from the most stable computed form in eV/atom: 0.465
Space-group type: P4/mmm
ρ in kg/m³: 4025
Crystal system: tetragonal
Formation energy without anion corrections in eV per atom: -0.202

Cell: 6.5545 6.5545 6.9886 Å, 90.00 90.00 90.00°
Fractional positions:
Ba  0.0000  0.0000  0.0000
Bi  0.5000  0.5000  0.5000
Te  0.0000  0.0000  0.5000
I  0.0000  0.5000  0.0000
I  0.5000  0.0000  0.0000

Record 17
This record from Alexandria via LeMat-Bulk describes a relaxed Sr2PRh crystal. The functional is PBE.

## Properties
M_tot in μB per formula unit: 0.00
Space-group type: P4/mmm
ρ in kg/m³: 5357
ΔH_f (0 K) in eV per atom: -0.397
Crystal system: tetragonal

Cell: 4.8544 4.8544 4.0663 Å, 90.00 90.00 90.00°
Fractional positions:
Sr  0.0000  0.5000  0.0000
Sr  0.5000  0.0000  0.0000
P  0.0000  0.0000  0.5000
Rh  0.5000  0.5000  0.5000